First-principles (GGA-PBE) data for a geometry-optimized FeW2Se structure, as listed in the Alexandria database.

a b c (Å): 3.996 2.846 5.426
angles (deg): 73.93 90.00 90.00
Atoms (fractional coordinates):
1 Fe 0.500 0.250 0.250
2 Se 0.500 0.750 0.750
3 W 0.000 0.528 0.490
4 W 0.000 0.972 0.010

Results
E   -8.9402 eV/atom
Magnetic moment   0.0 μB per cell

=====

First-principles (GGA-PBE) data for a geometry-optimized FeW2Se structure, as listed in the Alexandria database.

a b c (Å): 5.129 5.129 5.129
angles (deg): 146.28 128.65 62.85
Each line ends with the local moment (μB).
Atoms (fractional coordinates):
1 Se 0.265 0.765 0.500  -0.01
2 Fe 0.479 0.479 0.000  0.99
3 W 0.024 0.024 0.000  -0.05
4 W 0.732 0.232 0.500  -0.13

Results
E   -9.0674 eV/atom
Magnetic moment   0.8 μB per cell

=====

First-principles (GGA-PBE) data for a geometry-optimized FeW2Se structure, as listed in the Alexandria database.

a b c (Å): 5.265 4.915 2.882
angles (deg): 80.45 76.26 117.77
Each line ends with the local moment (μB).
Atoms (fractional coordinates):
1 Se 0.500 0.500 0.000  -0.01
2 Fe 0.000 0.500 0.500  1.85
3 W 0.500 0.000 0.500  -0.10
4 W 0.000 0.000 0.000  -0.10

Results
E   -8.8585 eV/atom
Magnetic moment   1.6 μB per cell

=====

First-principles (GGA-PBE) data for a geometry-optimized Fe2W2Se structure, as listed in the Alexandria database.

a b c (Å): 7.273 7.273 2.779
angles (deg): 90.00 90.00 90.00
Atoms (fractional coordinates):
1 Se 0.000 0.000 0.000
2 Se 0.500 0.500 0.000
3 Fe 0.863 0.637 0.000
4 Fe 0.137 0.363 0.000
5 W 0.150 0.650 0.500
6 Fe 0.637 0.137 0.000
7 Fe 0.363 0.863 0.000
8 W 0.350 0.150 0.500
9 W 0.650 0.850 0.500
10 W 0.850 0.350 0.500

Results
Polymorph energy (0 for the lowest one)   0.000 eV/atom
Magnetic moment   0.0 μB per cell